Record 1
Below is crystalline Rb5BrCl2O at its relaxed geometry, with properties calculated at the GGA-PBE level.

Computed properties:
The value obtained for the mass density is 2.9 g/cm3. The total energy comes out at -0.11895 Ha/atom. For the uncorrected formation energy, the calculation gives -13.97 eV/f.u. The total moment is 0.00 μB/f.u.

Lattice parameters (Å, degrees): 5.3870 7.8577 15.9534 90.00 90.00 90.00
With the nearest neighbours (Å) after each atom.
Space group Immm (No. 71)
Symmetry-distinct sites (fractional):
Rb1 0.0000 0.0000 0.0000 [2 per cell]  2 O 2.69
Rb2 0.0000 0.2623 0.3744 [8 per cell]  1 O 2.74
Br1 0.0000 0.5000 0.0000 [2 per cell]  10 Rb 3.93-3.94
Cl1 0.0000 0.0000 0.2077 [4 per cell]  7 Rb 3.31-3.53
O1 0.0000 0.5000 0.5000 [2 per cell]  6 Rb 2.69-2.74

Record 2
Below is crystalline Rb7Br2ClO2 at its relaxed geometry, with properties calculated at the GGA-PBE level.

Computed properties:
The value obtained for the mass density is 3.0 g/cm3. The total energy comes out at -0.11623 Ha/atom. For the uncorrected formation energy, the calculation gives -16.07 eV/f.u. The total moment is 0.18 μB/f.u.

Lattice parameters (Å, degrees): 4.8621 25.8707 7.2933 90.00 90.00 90.00
With the nearest neighbours (Å) after each atom.
Space group Imm2 (No. 44)
Symmetry-distinct sites (fractional):
Rb1 0.0000 0.0000 0.0000 [2 per cell]  2 O 2.77
Rb2 0.0000 0.0805 0.4764 [4 per cell]  1 O 2.56
Rb3 0.0000 0.2052 0.1809 [4 per cell]  1 O 2.74
Rb4 0.0000 0.3862 0.4532 [4 per cell]  2 O 2.78
Br1 0.0000 0.2011 0.6759 [4 per cell]  5 Rb 3.43-3.68
Cl1 0.0000 0.5000 0.1678 [2 per cell]  8 Rb 3.43-3.60
O1 0.0000 0.1002 0.1331 [4 per cell]  5 Rb 2.56-2.78

Record 3
Below is crystalline Rb6BrCl2O at its relaxed geometry, with properties calculated at the GGA-PBE level.

Computed properties:
The value obtained for the mass density is 2.4 g/cm3. The total energy comes out at -0.10794 Ha/atom. The density of states at the Fermi level comes out at 0.208 states/eV per atom. For the uncorrected formation energy, the calculation gives -13.24 eV/f.u. The total moment is 0.00 μB/f.u.

Lattice parameters (Å, degrees): 8.0630 12.2541 9.3981 90.00 90.00 90.00
With the nearest neighbours (Å) after each atom.
Space group Pmmn (No. 59, origin choice 2)
Symmetry-distinct sites (fractional):
Rb1 0.0117 0.2500 0.1253 [4 per cell]  1 O 2.76
Rb2 0.0126 0.7500 0.4722 [4 per cell]  1 O 2.77
Rb3 0.2500 0.5226 0.6981 [4 per cell]  1 O 2.79
Br1 0.2500 0.2500 0.8196 [2 per cell]  6 Rb 3.46-3.53
Cl1 0.2500 0.0771 0.3711 [4 per cell]  5 Rb 3.31-3.68
O1 0.2500 0.7500 0.6855 [2 per cell]  6 Rb 2.76-2.79